Computed, not measured: an optimized crystal structure of V2NO2 at the PBE+U level of DFT.

* DFT total energy: -6.794 eV/atom

Cell lengths 6.027, 6.027, 2.689 Å; angles 90.00, 90.00, 90.00 degrees
Space group P4/mbm (No. 127)
Inequivalent atoms, fractional coordinates:
1 V 0.187 0.313 0.000 (multiplicity 4)
2 N 0.000 0.000 0.500 (multiplicity 2)
3 O 0.131 0.631 0.500 (multiplicity 4)



Computed, not measured: an optimized crystal structure of V2NO5 at the PBE+U level of DFT.

* DFT total energy: -7.535 eV/atom

Cell lengths 11.735, 3.672, 11.967 Å; angles 90.00, 93.08, 90.00 degrees
Space group C2/m (No. 12)
Inequivalent atoms, fractional coordinates:
1 V 0.074 0.000 0.138 (multiplicity 4)
2 V 0.218 0.000 0.858 (multiplicity 4)
3 N 0.045 0.500 0.518 (multiplicity 4)
4 O 0.066 0.000 0.270 (multiplicity 4)
5 O 0.076 0.000 0.916 (multiplicity 4)
6 O 0.111 0.500 0.112 (multiplicity 4)
7 O 0.195 0.000 0.726 (multiplicity 4)
8 O 0.245 0.000 0.107 (multiplicity 4)



Computed, not measured: an optimized crystal structure of VWN2O at the PBE+U level of DFT.

* DFT total energy: -7.289 eV/atom

Cell lengths 3.987, 3.987, 3.887 Å; angles 90.00, 90.00, 90.00 degrees
Space group P4/mmm (No. 123)
Inequivalent atoms, fractional coordinates:
1 V 0.000 0.000 0.000 (multiplicity 1)
2 W 0.500 0.500 0.500 (multiplicity 1)
3 N 0.000 0.500 0.500 (multiplicity 2)
4 O 0.500 0.500 0.000 (multiplicity 1)



Computed, not measured: an optimized crystal structure of VWNO2 at the PBE+U level of DFT.

* DFT total energy: -6.985 eV/atom

Cell lengths 3.654, 3.654, 4.343 Å; angles 90.00, 90.00, 90.00 degrees
Space group P4/mmm (No. 123)
Inequivalent atoms, fractional coordinates:
1 V 0.000 0.000 0.000 (multiplicity 1)
2 W 0.500 0.500 0.500 (multiplicity 1)
3 N 0.000 0.000 0.500 (multiplicity 1)
4 O 0.000 0.500 0.000 (multiplicity 2)



Computed, not measured: an optimized crystal structure of VWN2O at the PBE+U level of DFT.

* DFT total energy: -7.013 eV/atom

Cell lengths 3.908, 3.908, 3.618 Å; angles 90.00, 90.00, 90.00 degrees
Space group P4/mmm (No. 123)
Inequivalent atoms, fractional coordinates:
1 V 0.000 0.000 0.000 (multiplicity 1)
2 W 0.500 0.500 0.500 (multiplicity 1)
3 N 0.000 0.500 0.000 (multiplicity 2)
4 O 0.000 0.000 0.500 (multiplicity 1)



Computed, not measured: an optimized crystal structure of VWNO2 at the PBE+U level of DFT.

* DFT total energy: -7.210 eV/atom

Cell lengths 3.926, 3.926, 4.031 Å; angles 90.00, 90.00, 90.00 degrees
Space group P4/mmm (No. 123)
Inequivalent atoms, fractional coordinates:
1 V 0.000 0.000 0.000 (multiplicity 1)
2 W 0.500 0.500 0.500 (multiplicity 1)
3 N 0.500 0.500 0.000 (multiplicity 1)
4 O 0.000 0.500 0.500 (multiplicity 2)



Computed, not measured: an optimized crystal structure of YVNO2 at the PBE+U level of DFT.

* DFT total energy: -6.858 eV/atom

Cell lengths 4.334, 4.334, 4.453 Å; angles 90.00, 90.00, 90.00 degrees
Space group P4/mmm (No. 123)
Inequivalent atoms, fractional coordinates:
1 Y 0.000 0.000 0.000 (multiplicity 1)
2 V 0.500 0.500 0.500 (multiplicity 1)
3 N 0.000 0.000 0.500 (multiplicity 1)
4 O 0.000 0.500 0.000 (multiplicity 2)



Computed, not measured: an optimized crystal structure of YVNO2 at the PBE+U level of DFT.

* DFT total energy: -8.288 eV/atom

Cell lengths 3.871, 3.871, 3.842 Å; angles 90.00, 90.00, 90.00 degrees
Space group P4/mmm (No. 123)
Inequivalent atoms, fractional coordinates:
1 Y 0.000 0.000 0.000 (multiplicity 1)
2 V 0.500 0.500 0.500 (multiplicity 1)
3 N 0.500 0.500 0.000 (multiplicity 1)
4 O 0.000 0.500 0.500 (multiplicity 2)



Computed, not measured: an optimized crystal structure of ZrVNO2 at the PBE+U level of DFT.

* DFT total energy: -8.152 eV/atom

Cell lengths 3.771, 3.771, 3.901 Å; angles 90.00, 90.00, 90.00 degrees
Space group P4/mmm (No. 123)
Inequivalent atoms, fractional coordinates:
1 Zr 0.000 0.000 0.000 (multiplicity 1)
2 V 0.500 0.500 0.500 (multiplicity 1)
3 N 0.500 0.500 0.000 (multiplicity 1)
4 O 0.000 0.500 0.500 (multiplicity 2)



Computed, not measured: an optimized crystal structure of ZrVNO2 at the PBE+U level of DFT.

* DFT total energy: -7.862 eV/atom

Cell lengths 4.094, 4.094, 4.340 Å; angles 90.00, 90.00, 90.00 degrees
Space group P4/mmm (No. 123)
Inequivalent atoms, fractional coordinates:
1 Zr 0.000 0.000 0.000 (multiplicity 1)
2 V 0.500 0.500 0.500 (multiplicity 1)
3 N 0.000 0.000 0.500 (multiplicity 1)
4 O 0.000 0.500 0.000 (multiplicity 2)



Computed, not measured: an optimized crystal structure of WNO at the PBE+U level of DFT.

* distance to the lowest polymorph of the same formula: 0.001 eV/atom

Cell lengths 3.1909, 3.1909, 5.1783 Å; angles 90.00, 90.00, 120.00 degrees
Space group P3m1 (No. 156)
Inequivalent atoms, fractional coordinates:
1 W 0.0000 0.0000 0.0000 (multiplicity 1)
2 N 0.6667 0.3333 0.1636 (multiplicity 1)
3 O 0.3333 0.6667 0.7933 (multiplicity 1)



Computed, not measured: an optimized crystal structure of W2NO at the PBE+U level of DFT.

* distance to the lowest polymorph of the same formula: 0.899 eV/atom

Cell lengths 5.627, 5.627, 5.627 Å; angles 90.00, 90.00, 90.00 degrees
Space group Fm-3m (No. 225)
Inequivalent atoms, fractional coordinates:
1 W 0.250 0.250 0.250 (multiplicity 8)
2 N 0.000 0.000 0.000 (multiplicity 4)
3 O 0.000 0.000 0.500 (multiplicity 4)



Computed, not measured: an optimized crystal structure of WNO3 at the PBE+U level of DFT.

* DFT total energy: -6.502 eV/atom

Cell lengths 3.865, 3.865, 3.865 Å; angles 90.00, 90.00, 90.00 degrees
Space group Pm-3m (No. 221)
Inequivalent atoms, fractional coordinates:
1 W 0.000 0.000 0.000 (multiplicity 1)
2 N 0.500 0.500 0.500 (multiplicity 1)
3 O 0.000 0.000 0.500 (multiplicity 3)



Computed, not measured: an optimized crystal structure of W2NO at the PBE+U level of DFT.

* distance to the lowest polymorph of the same formula: 0.000 eV/atom

Cell lengths 4.881, 4.881, 9.711 Å; angles 90.00, 90.00, 90.00 degrees
Space group I-42d (No. 122)
Inequivalent atoms, fractional coordinates:
1 W 0.236 0.250 0.125 (multiplicity 8)
2 N 0.000 0.000 0.000 (multiplicity 4)
3 O 0.000 0.000 0.500 (multiplicity 4)



Computed, not measured: an optimized crystal structure of WNO2 at the PBE+U level of DFT.

* DFT total energy: -6.183 eV/atom

Cell lengths 3.4144, 3.4144, 16.8863 Å; angles 90.00, 90.00, 120.00 degrees
Space group R-3m (No. 166, hexagonal axes)
Inequivalent atoms, fractional coordinates:
1 W 0.0000 0.0000 0.0000 (multiplicity 3)
2 N 0.0000 0.0000 0.5000 (multiplicity 3)
3 O 0.0000 0.0000 0.3895 (multiplicity 6)



Computed, not measured: an optimized crystal structure of WNO at the PBE+U level of DFT.

* distance to the lowest polymorph of the same formula: 0.296 eV/atom

Cell lengths 5.104, 2.778, 9.527 Å; angles 90.00, 90.00, 90.00 degrees
Space group Pnma (No. 62)
Inequivalent atoms, fractional coordinates:
1 W 0.113 0.250 0.129 (multiplicity 4)
2 N 0.218 0.750 0.978 (multiplicity 4)
3 O 0.121 0.250 0.732 (multiplicity 4)



Computed, not measured: an optimized crystal structure of W3NO9 at the PBE+U level of DFT.

* DFT total energy: -7.169 eV/atom

Cell lengths 7.5198, 7.5198, 7.7124 Å; angles 90.00, 90.00, 120.00 degrees
Space group P6_3/mcm (No. 193)
Inequivalent atoms, fractional coordinates:
1 W 0.0000 0.4859 0.2500 (multiplicity 6)
2 N 0.0000 0.0000 0.0000 (multiplicity 2)
3 O 0.0000 0.5000 0.0000 (multiplicity 6)
4 O 0.2115 0.4273 0.7500 (multiplicity 12)



Computed, not measured: an optimized crystal structure of W3NO at the PBE+U level of DFT.

* distance to the lowest polymorph of the same formula: 0.000 eV/atom

Cell lengths 4.131, 4.131, 4.131 Å; angles 90.00, 90.00, 90.00 degrees
Space group Pm-3m (No. 221)
Inequivalent atoms, fractional coordinates:
1 W 0.000 0.000 0.500 (multiplicity 3)
2 N 0.000 0.000 0.000 (multiplicity 1)
3 O 0.500 0.500 0.500 (multiplicity 1)



Computed, not measured: an optimized crystal structure of WNO at the PBE+U level of DFT.

* distance to the lowest polymorph of the same formula: 0.000 eV/atom

Cell lengths 3.1936, 3.1936, 15.0153 Å; angles 90.00, 90.00, 120.00 degrees
Space group R3m (No. 160, hexagonal axes)
Inequivalent atoms, fractional coordinates:
1 W 0.0000 0.0000 0.0000 (multiplicity 3)
2 N 0.0000 0.0000 0.7230 (multiplicity 3)
3 O 0.0000 0.0000 0.2622 (multiplicity 3)



Computed, not measured: an optimized crystal structure of WNO2 at the PBE+U level of DFT.

* DFT total energy: -6.128 eV/atom

Cell lengths 3.414, 3.414, 13.589 Å; angles 90.00, 90.00, 90.00 degrees
Space group I-42d (No. 122)
Inequivalent atoms, fractional coordinates:
1 W 0.000 0.000 0.000 (multiplicity 4)
2 N 0.000 0.000 0.500 (multiplicity 4)
3 O 0.214 0.250 0.125 (multiplicity 8)